Density functional theory data (GGA+U) for a geometry-optimized ZnCuNiF6 structure.

Structure (POSCAR):
```
ZnCuNiF6
1.0
4.7259 0.0000 0.0000
0.0000 4.7259 0.0000
0.0000 0.0000 9.5071
Zn Cu Ni F
2 2 2 12
Direct
0.0000 0.0000 0.0000
0.5000 0.5000 0.5000
0.0000 0.0000 0.6674
0.5000 0.5000 0.1674
0.0000 0.0000 0.3337
0.5000 0.5000 0.8337
0.1947 0.1947 0.4982
0.1970 0.1970 0.1685
0.1983 0.1983 0.8338
0.3017 0.6983 0.3338
0.3030 0.6970 0.6685
0.3053 0.6947 0.9982
0.6947 0.3053 0.9982
0.6970 0.3030 0.6685
0.6983 0.3017 0.3338
0.8017 0.8017 0.8338
0.8030 0.8030 0.1685
0.8053 0.8053 0.4982
```

* DFT total energy: -4.11 eV/atom